Entry P
Na3FeN: relaxed, PBE-GGA.

```
data_Na3FeN
_chemical_formula_sum 'Na3 Fe1 N1'
_cell_length_a 5.572
_cell_length_b 5.572
_cell_length_c 5.572
_cell_angle_alpha 90.00
_cell_angle_beta 90.00
_cell_angle_gamma 90.00
_space_group_name_H-M_alt 'P m -3 m'
_space_group_IT_number 221
_space_group_name_Hall '-P 4 2 3'
loop_
_atom_site_label
_atom_site_type_symbol
_atom_site_fract_x
_atom_site_fract_y
_atom_site_fract_z
_atom_site_occupancy
Na1 Na 0.000 0.000 0.500 1
Fe1 Fe 0.000 0.000 0.000 1
N1 N 0.500 0.500 0.500 1
```



Entry Q
Na3FeN: relaxed, PBE-GGA.

```
data_Na3FeN
_chemical_formula_sum 'Na3 Fe1 N1'
_cell_length_a 4.763
_cell_length_b 4.763
_cell_length_c 4.763
_cell_angle_alpha 90.00
_cell_angle_beta 90.00
_cell_angle_gamma 90.00
_space_group_name_H-M_alt 'P m -3 m'
_space_group_IT_number 221
_space_group_name_Hall '-P 4 2 3'
loop_
_atom_site_label
_atom_site_type_symbol
_atom_site_fract_x
_atom_site_fract_y
_atom_site_fract_z
_atom_site_occupancy
Na1 Na 0.000 0.000 0.500 1
Fe1 Fe 0.500 0.500 0.500 1
N1 N 0.000 0.000 0.000 1
```



If we sort the structures by their calculated energies, the order from most to least stable is entry Q, entry P.



Entry P
NaFeSeN2: relaxed, PBE-GGA.

```
data_NaFeSeN2
_chemical_formula_sum 'Na1 Fe1 Se1 N2'
_cell_length_a 3.938
_cell_length_b 3.938
_cell_length_c 5.653
_cell_angle_alpha 90.00
_cell_angle_beta 90.00
_cell_angle_gamma 90.00
_space_group_name_H-M_alt 'P 4/m m m'
_space_group_IT_number 123
_space_group_name_Hall '-P 4 2'
loop_
_atom_site_label
_atom_site_type_symbol
_atom_site_fract_x
_atom_site_fract_y
_atom_site_fract_z
_atom_site_occupancy
Na1 Na 0.000 0.000 0.000 1
Fe1 Fe 0.500 0.500 0.500 1
Se1 Se 0.000 0.000 0.500 1
N1 N 0.000 0.500 0.000 1
```



Entry Q
NaFeSeN2: relaxed, PBE-GGA.

```
data_NaFeSeN2
_chemical_formula_sum 'Na1 Fe1 Se1 N2'
_cell_length_a 3.662
_cell_length_b 3.662
_cell_length_c 5.250
_cell_angle_alpha 90.00
_cell_angle_beta 90.00
_cell_angle_gamma 90.00
_space_group_name_H-M_alt 'P 4/m m m'
_space_group_IT_number 123
_space_group_name_Hall '-P 4 2'
loop_
_atom_site_label
_atom_site_type_symbol
_atom_site_fract_x
_atom_site_fract_y
_atom_site_fract_z
_atom_site_occupancy
Na1 Na 0.000 0.000 0.000 1
Fe1 Fe 0.500 0.500 0.500 1
Se1 Se 0.500 0.500 0.000 1
N1 N 0.000 0.500 0.500 1
```



If we sort the structures by their calculated energies, the order from most to least stable is entry Q, entry P.



Entry P
NaFeSe2N: relaxed, PBE-GGA.

```
data_NaFeSe2N
_chemical_formula_sum 'Na1 Fe1 Se2 N1'
_cell_length_a 5.128
_cell_length_b 5.128
_cell_length_c 3.399
_cell_angle_alpha 90.00
_cell_angle_beta 90.00
_cell_angle_gamma 90.00
_space_group_name_H-M_alt 'P 4/m m m'
_space_group_IT_number 123
_space_group_name_Hall '-P 4 2'
loop_
_atom_site_label
_atom_site_type_symbol
_atom_site_fract_x
_atom_site_fract_y
_atom_site_fract_z
_atom_site_occupancy
Na1 Na 0.000 0.000 0.000 1
Fe1 Fe 0.500 0.500 0.500 1
Se1 Se 0.000 0.500 0.500 1
N1 N 0.500 0.500 0.000 1
```



Entry Q
NaFeSe2N: relaxed, PBE-GGA.

```
data_NaFeSe2N
_chemical_formula_sum 'Na1 Fe1 Se2 N1'
_cell_length_a 5.176
_cell_length_b 5.176
_cell_length_c 4.209
_cell_angle_alpha 90.00
_cell_angle_beta 90.00
_cell_angle_gamma 90.00
_space_group_name_H-M_alt 'P 4/m m m'
_space_group_IT_number 123
_space_group_name_Hall '-P 4 2'
loop_
_atom_site_label
_atom_site_type_symbol
_atom_site_fract_x
_atom_site_fract_y
_atom_site_fract_z
_atom_site_occupancy
Na1 Na 0.000 0.000 0.000 1
Fe1 Fe 0.500 0.500 0.500 1
Se1 Se 0.000 0.500 0.000 1
N1 N 0.000 0.000 0.500 1
```



If we sort the structures by their calculated energies, the order from most to least stable is entry P, entry Q.



Entry P
Nb2FeN2: relaxed, PBE-GGA.

```
data_Nb2FeN2
_chemical_formula_sum 'Nb4 Fe2 N4'
_cell_length_a 6.438
_cell_length_b 6.438
_cell_length_c 2.802
_cell_angle_alpha 90.00
_cell_angle_beta 90.00
_cell_angle_gamma 90.00
_space_group_name_H-M_alt 'P 4/m b m'
_space_group_IT_number 127
_space_group_name_Hall '-P 4 2ab'
loop_
_atom_site_label
_atom_site_type_symbol
_atom_site_fract_x
_atom_site_fract_y
_atom_site_fract_z
_atom_site_occupancy
Nb1 Nb 0.153 0.347 0.000 1
Fe1 Fe 0.000 0.000 0.000 1
N1 N 0.137 0.637 0.500 1
```



Entry Q
Nb2FeN2: relaxed, PBE-GGA.

```
data_Nb2FeN2
_chemical_formula_sum 'Nb4 Fe2 N4'
_cell_length_a 3.747
_cell_length_b 3.747
_cell_length_c 9.513
_cell_angle_alpha 90.00
_cell_angle_beta 90.00
_cell_angle_gamma 90.00
_space_group_name_H-M_alt 'I 4/m m m'
_space_group_IT_number 139
_space_group_name_Hall '-I 4 2'
loop_
_atom_site_label
_atom_site_type_symbol
_atom_site_fract_x
_atom_site_fract_y
_atom_site_fract_z
_atom_site_occupancy
Nb1 Nb 0.000 0.000 0.152 1
Fe1 Fe 0.000 0.000 0.500 1
N1 N 0.000 0.500 0.250 1
```



If we sort the structures by their calculated energies, the order from most to least stable is entry Q, entry P.



Entry P
NbFe3N: relaxed, PBE-GGA.

```
data_NbFe3N
_chemical_formula_sum 'Nb1 Fe3 N1'
_cell_length_a 3.809
_cell_length_b 3.809
_cell_length_c 3.809
_cell_angle_alpha 90.00
_cell_angle_beta 90.00
_cell_angle_gamma 90.00
_space_group_name_H-M_alt 'P m -3 m'
_space_group_IT_number 221
_space_group_name_Hall '-P 4 2 3'
loop_
_atom_site_label
_atom_site_type_symbol
_atom_site_fract_x
_atom_site_fract_y
_atom_site_fract_z
_atom_site_occupancy
Nb1 Nb 0.000 0.000 0.000 1
Fe1 Fe 0.000 0.500 0.500 1
N1 N 0.500 0.500 0.500 1
```



Entry Q
NbFe3N: relaxed, PBE-GGA.

```
data_NbFe3N
_chemical_formula_sum 'Nb1 Fe3 N1'
_cell_length_a 4.545
_cell_length_b 4.545
_cell_length_c 4.545
_cell_angle_alpha 90.00
_cell_angle_beta 90.00
_cell_angle_gamma 90.00
_space_group_name_H-M_alt 'P m -3 m'
_space_group_IT_number 221
_space_group_name_Hall '-P 4 2 3'
loop_
_atom_site_label
_atom_site_type_symbol
_atom_site_fract_x
_atom_site_fract_y
_atom_site_fract_z
_atom_site_occupancy
Nb1 Nb 0.000 0.000 0.000 1
Fe1 Fe 0.000 0.000 0.500 1
N1 N 0.500 0.500 0.500 1
```



If we sort the structures by their calculated energies, the order from most to least stable is entry P, entry Q.



Entry P
NbFeSe2N: relaxed, PBE-GGA.

```
data_NbFeSe2N
_chemical_formula_sum 'Nb1 Fe1 Se2 N1'
_cell_length_a 4.863
_cell_length_b 4.863
_cell_length_c 3.399
_cell_angle_alpha 90.00
_cell_angle_beta 90.00
_cell_angle_gamma 90.00
_space_group_name_H-M_alt 'P 4/m m m'
_space_group_IT_number 123
_space_group_name_Hall '-P 4 2'
loop_
_atom_site_label
_atom_site_type_symbol
_atom_site_fract_x
_atom_site_fract_y
_atom_site_fract_z
_atom_site_occupancy
Nb1 Nb 0.000 0.000 0.000 1
Fe1 Fe 0.500 0.500 0.500 1
Se1 Se 0.000 0.500 0.500 1
N1 N 0.500 0.500 0.000 1
```



Entry Q
NbFeSe2N: relaxed, PBE-GGA.

```
data_NbFeSe2N
_chemical_formula_sum 'Nb1 Fe1 Se2 N1'
_cell_length_a 5.181
_cell_length_b 5.181
_cell_length_c 3.860
_cell_angle_alpha 90.00
_cell_angle_beta 90.00
_cell_angle_gamma 90.00
_space_group_name_H-M_alt 'P 4/m m m'
_space_group_IT_number 123
_space_group_name_Hall '-P 4 2'
loop_
_atom_site_label
_atom_site_type_symbol
_atom_site_fract_x
_atom_site_fract_y
_atom_site_fract_z
_atom_site_occupancy
Nb1 Nb 0.000 0.000 0.000 1
Fe1 Fe 0.500 0.500 0.500 1
Se1 Se 0.000 0.500 0.000 1
N1 N 0.000 0.000 0.500 1
```



If we sort the structures by their calculated energies, the order from most to least stable is entry P, entry Q.



Entry P
NbFeSeN2: relaxed, PBE-GGA.

```
data_NbFeSeN2
_chemical_formula_sum 'Nb1 Fe1 Se1 N2'
_cell_length_a 3.973
_cell_length_b 3.973
_cell_length_c 5.472
_cell_angle_alpha 90.00
_cell_angle_beta 90.00
_cell_angle_gamma 90.00
_space_group_name_H-M_alt 'P 4/m m m'
_space_group_IT_number 123
_space_group_name_Hall '-P 4 2'
loop_
_atom_site_label
_atom_site_type_symbol
_atom_site_fract_x
_atom_site_fract_y
_atom_site_fract_z
_atom_site_occupancy
Nb1 Nb 0.000 0.000 0.000 1
Fe1 Fe 0.500 0.500 0.500 1
Se1 Se 0.000 0.000 0.500 1
N1 N 0.000 0.500 0.000 1
```



Entry Q
NbFeSeN2: relaxed, PBE-GGA.

```
data_NbFeSeN2
_chemical_formula_sum 'Nb1 Fe1 Se1 N2'
_cell_length_a 3.712
_cell_length_b 3.712
_cell_length_c 4.771
_cell_angle_alpha 90.00
_cell_angle_beta 90.00
_cell_angle_gamma 90.00
_space_group_name_H-M_alt 'P 4/m m m'
_space_group_IT_number 123
_space_group_name_Hall '-P 4 2'
loop_
_atom_site_label
_atom_site_type_symbol
_atom_site_fract_x
_atom_site_fract_y
_atom_site_fract_z
_atom_site_occupancy
Nb1 Nb 0.000 0.000 0.000 1
Fe1 Fe 0.500 0.500 0.500 1
Se1 Se 0.500 0.500 0.000 1
N1 N 0.000 0.500 0.500 1
```



If we sort the structures by their calculated energies, the order from most to least stable is entry P, entry Q.



Entry P
NbFeTeN2: relaxed, PBE-GGA.

```
data_NbFeTeN2
_chemical_formula_sum 'Nb1 Fe1 Te1 N2'
_cell_length_a 3.825
_cell_length_b 3.825
_cell_length_c 5.148
_cell_angle_alpha 90.00
_cell_angle_beta 90.00
_cell_angle_gamma 90.00
_space_group_name_H-M_alt 'P 4/m m m'
_space_group_IT_number 123
_space_group_name_Hall '-P 4 2'
loop_
_atom_site_label
_atom_site_type_symbol
_atom_site_fract_x
_atom_site_fract_y
_atom_site_fract_z
_atom_site_occupancy
Nb1 Nb 0.000 0.000 0.000 1
Fe1 Fe 0.500 0.500 0.500 1
Te1 Te 0.500 0.500 0.000 1
N1 N 0.000 0.500 0.500 1
```



Entry Q
NbFeTeN2: relaxed, PBE-GGA.

```
data_NbFeTeN2
_chemical_formula_sum 'Nb1 Fe1 Te1 N2'
_cell_length_a 4.010
_cell_length_b 4.010
_cell_length_c 5.884
_cell_angle_alpha 90.00
_cell_angle_beta 90.00
_cell_angle_gamma 90.00
_space_group_name_H-M_alt 'P 4/m m m'
_space_group_IT_number 123
_space_group_name_Hall '-P 4 2'
loop_
_atom_site_label
_atom_site_type_symbol
_atom_site_fract_x
_atom_site_fract_y
_atom_site_fract_z
_atom_site_occupancy
Nb1 Nb 0.000 0.000 0.000 1
Fe1 Fe 0.500 0.500 0.500 1
Te1 Te 0.000 0.000 0.500 1
N1 N 0.000 0.500 0.000 1
```



If we sort the structures by their calculated energies, the order from most to least stable is entry Q, entry P.



Entry P
NbFeTe2N: relaxed, PBE-GGA.

```
data_NbFeTe2N
_chemical_formula_sum 'Nb1 Fe1 Te2 N1'
_cell_length_a 5.221
_cell_length_b 5.221
_cell_length_c 3.422
_cell_angle_alpha 90.00
_cell_angle_beta 90.00
_cell_angle_gamma 90.00
_space_group_name_H-M_alt 'P 4/m m m'
_space_group_IT_number 123
_space_group_name_Hall '-P 4 2'
loop_
_atom_site_label
_atom_site_type_symbol
_atom_site_fract_x
_atom_site_fract_y
_atom_site_fract_z
_atom_site_occupancy
Nb1 Nb 0.000 0.000 0.000 1
Fe1 Fe 0.500 0.500 0.500 1
Te1 Te 0.000 0.500 0.500 1
N1 N 0.500 0.500 0.000 1
```



Entry Q
NbFeTe2N: relaxed, PBE-GGA.

```
data_NbFeTe2N
_chemical_formula_sum 'Nb1 Fe1 Te2 N1'
_cell_length_a 5.558
_cell_length_b 5.558
_cell_length_c 3.879
_cell_angle_alpha 90.00
_cell_angle_beta 90.00
_cell_angle_gamma 90.00
_space_group_name_H-M_alt 'P 4/m m m'
_space_group_IT_number 123
_space_group_name_Hall '-P 4 2'
loop_
_atom_site_label
_atom_site_type_symbol
_atom_site_fract_x
_atom_site_fract_y
_atom_site_fract_z
_atom_site_occupancy
Nb1 Nb 0.000 0.000 0.000 1
Fe1 Fe 0.500 0.500 0.500 1
Te1 Te 0.000 0.500 0.000 1
N1 N 0.000 0.000 0.500 1
```



If we sort the structures by their calculated energies, the order from most to least stable is entry P, entry Q.



Entry P
NdFeN: relaxed, PBE-GGA.

```
data_NdFeN
_chemical_formula_sum 'Nd4 Fe4 N4'
_cell_length_a 3.269
_cell_length_b 17.588
_cell_length_c 3.611
_cell_angle_alpha 90.00
_cell_angle_beta 90.00
_cell_angle_gamma 90.00
_space_group_name_H-M_alt 'C m c m'
_space_group_IT_number 63
_space_group_name_Hall '-C 2c 2'
loop_
_atom_site_label
_atom_site_type_symbol
_atom_site_fract_x
_atom_site_fract_y
_atom_site_fract_z
_atom_site_occupancy
Nd1 Nd 0.000 0.086 0.250 1
Fe1 Fe 0.000 0.233 0.750 1
N1 N 0.000 0.430 0.250 1
```



Entry Q
NdFeN: relaxed, PBE-GGA.

```
data_NdFeN
_chemical_formula_sum 'Nd1 Fe1 N1'
_cell_length_a 3.4412
_cell_length_b 3.4412
_cell_length_c 4.2490
_cell_angle_alpha 90.00
_cell_angle_beta 90.00
_cell_angle_gamma 120.00
_space_group_name_H-M_alt 'P -6 m 2'
_space_group_IT_number 187
_space_group_name_Hall 'P -6 2'
loop_
_atom_site_label
_atom_site_type_symbol
_atom_site_fract_x
_atom_site_fract_y
_atom_site_fract_z
_atom_site_occupancy
Nd1 Nd 0.0000 0.0000 0.0000 1
Fe1 Fe 0.3333 0.6667 0.5000 1
N1 N 0.6667 0.3333 0.5000 1
```



If we sort the structures by their calculated energies, the order from most to least stable is entry Q, entry P.



Entry P
Fe2NiPdN: relaxed, PBE-GGA.

```
data_Fe2NiPdN
_chemical_formula_sum 'Fe2 Ni1 Pd1 N1'
_cell_length_a 3.779
_cell_length_b 3.779
_cell_length_c 4.139
_cell_angle_alpha 90.00
_cell_angle_beta 90.00
_cell_angle_gamma 90.00
_space_group_name_H-M_alt 'P 4/m m m'
_space_group_IT_number 123
_space_group_name_Hall '-P 4 2'
loop_
_atom_site_label
_atom_site_type_symbol
_atom_site_fract_x
_atom_site_fract_y
_atom_site_fract_z
_atom_site_occupancy
Fe1 Fe 0.000 0.500 0.000 1
Ni1 Ni 0.000 0.000 0.500 1
Pd1 Pd 0.500 0.500 0.500 1
N1 N 0.500 0.500 0.000 1
```



Entry Q
Fe2NiPdN: relaxed, PBE-GGA.

```
data_Fe2NiPdN
_chemical_formula_sum 'Fe2 Ni1 Pd1 N1'
_cell_length_a 3.858
_cell_length_b 3.858
_cell_length_c 3.819
_cell_angle_alpha 90.00
_cell_angle_beta 90.00
_cell_angle_gamma 90.00
_space_group_name_H-M_alt 'P 4/m m m'
_space_group_IT_number 123
_space_group_name_Hall '-P 4 2'
loop_
_atom_site_label
_atom_site_type_symbol
_atom_site_fract_x
_atom_site_fract_y
_atom_site_fract_z
_atom_site_occupancy
Fe1 Fe 0.000 0.500 0.000 1
Ni1 Ni 0.000 0.000 0.500 1
Pd1 Pd 0.500 0.500 0.500 1
N1 N 0.000 0.000 0.000 1
```



If we sort the structures by their calculated energies, the order from most to least stable is entry Q, entry P.



Entry P
FeNi2RhN: relaxed, PBE-GGA.

```
data_FeNi2RhN
_chemical_formula_sum 'Fe1 Ni2 Rh1 N1'
_cell_length_a 3.783
_cell_length_b 3.783
_cell_length_c 3.853
_cell_angle_alpha 90.00
_cell_angle_beta 90.00
_cell_angle_gamma 90.00
_space_group_name_H-M_alt 'P 4/m m m'
_space_group_IT_number 123
_space_group_name_Hall '-P 4 2'
loop_
_atom_site_label
_atom_site_type_symbol
_atom_site_fract_x
_atom_site_fract_y
_atom_site_fract_z
_atom_site_occupancy
Fe1 Fe 0.000 0.000 0.000 1
Ni1 Ni 0.000 0.500 0.500 1
Rh1 Rh 0.500 0.500 0.000 1
N1 N 0.000 0.000 0.500 1
```



Entry Q
FeNi2RhN: relaxed, PBE-GGA.

```
data_FeNi2RhN
_chemical_formula_sum 'Fe1 Ni2 Rh1 N1'
_cell_length_a 3.749
_cell_length_b 3.749
_cell_length_c 4.099
_cell_angle_alpha 90.00
_cell_angle_beta 90.00
_cell_angle_gamma 90.00
_space_group_name_H-M_alt 'P 4/m m m'
_space_group_IT_number 123
_space_group_name_Hall '-P 4 2'
loop_
_atom_site_label
_atom_site_type_symbol
_atom_site_fract_x
_atom_site_fract_y
_atom_site_fract_z
_atom_site_occupancy
Fe1 Fe 0.000 0.000 0.000 1
Ni1 Ni 0.000 0.500 0.500 1
Rh1 Rh 0.500 0.500 0.000 1
N1 N 0.500 0.500 0.500 1
```



If we sort the structures by their calculated energies, the order from most to least stable is entry P, entry Q.